This record from Alexandria describes an optimized crystal structure of Lu2Mn2O7. The functional is PBE with a Hubbard U.

Unit cell a=6.9994 b=6.9994 c=6.9994 alpha=60.00 beta=60.00 gamma=60.00
Last column: nearest neighbours and their distance in Å.
Fractional coordinates of all 22 atoms:
Lu 0.0000 0.0000 0.0000  2 O 2.14
Lu 0.0000 0.0000 0.5000  2 O 2.14
Lu 0.0000 0.5000 0.0000  2 O 2.14
Lu 0.5000 0.0000 0.0000  2 O 2.14
Mn 0.0000 0.5000 0.5000  6 O 1.93
Mn 0.5000 0.0000 0.5000  6 O 1.93
Mn 0.5000 0.5000 0.0000  6 O 1.93
Mn 0.5000 0.5000 0.5000  6 O 1.93
O 0.1250 0.1250 0.1250  4 Lu 2.14
O 0.1666 0.1666 0.5834  2 Mn 1.93
O 0.1666 0.5834 0.1666  2 Mn 1.93
O 0.1666 0.5834 0.5834  2 Mn 1.93
O 0.4166 0.4166 0.8334  2 Mn 1.93
O 0.4166 0.8334 0.4166  2 Mn 1.93
O 0.4166 0.8334 0.8334  2 Mn 1.93
O 0.5834 0.1666 0.1666  2 Mn 1.93
O 0.5834 0.1666 0.5834  2 Mn 1.93
O 0.5834 0.5834 0.1666  2 Mn 1.93
O 0.8334 0.4166 0.4166  2 Mn 1.93
O 0.8334 0.4166 0.8334  2 Mn 1.93
O 0.8334 0.8334 0.4166  2 Mn 1.93
O 0.8750 0.8750 0.8750  4 Lu 2.14

Summary:
The total magnetization is 6.0 μB per formula unit. The value obtained for the total energy is -172.1 eV/cell. As for the space group: Fd-3m, No. 227.